# 1
A plane-wave DFT calculation with GGA-PBE was carried out for a relaxed structure of Ho2ErPa2Ru5.

abc: 10.589 10.589 3.663
angles: 90.00 90.00 90.00
Fractional positions:
1 Ho 0.172 0.328 0.000
2 Ho 0.328 0.828 0.000
3 Ho 0.672 0.172 0.000
4 Ho 0.828 0.672 0.000
5 Er 0.000 0.000 0.000
6 Er 0.500 0.500 0.000
7 Pa 0.135 0.635 0.000
8 Pa 0.365 0.135 0.000
9 Pa 0.635 0.865 0.000
10 Pa 0.865 0.365 0.000
11 Ru 0.000 0.500 0.500
12 Ru 0.054 0.792 0.500
13 Ru 0.208 0.054 0.500
14 Ru 0.292 0.554 0.500
15 Ru 0.446 0.292 0.500
16 Ru 0.500 0.000 0.500
17 Ru 0.554 0.708 0.500
18 Ru 0.708 0.446 0.500
19 Ru 0.792 0.946 0.500
20 Ru 0.946 0.208 0.500

Computed properties:
The calculation puts the density at 11.843 g/cm³. The density of states at the Fermi level is 0.629 states/eV per atom. The calculation puts the formation energy at -328 meV per atom.

---

# 2
A plane-wave DFT calculation with GGA-PBE was carried out for a relaxed structure of HoEr2PaRu2.

abc: 8.305 8.305 8.305
angles: 131.69 70.02 132.58
Fractional positions:
1 Ho 0.250 0.250 0.000
2 Ho 0.750 0.750 0.000
3 Er 0.196 0.696 0.893
4 Er 0.304 0.196 0.500
5 Er 0.696 0.804 0.500
6 Er 0.804 0.304 0.107
7 Pa 0.250 0.750 0.500
8 Pa 0.750 0.250 0.500
9 Ru 0.104 0.295 0.399
10 Ru 0.396 0.795 0.190
11 Ru 0.604 0.205 0.810
12 Ru 0.896 0.705 0.601

Computed properties:
The calculation puts the density at 10.029 g/cm³. The density of states at the Fermi level is 0.901 states/eV per atom. The calculation puts the formation energy at -295 meV per atom.

---

# 3
A plane-wave DFT calculation with GGA-PBE was carried out for a relaxed structure of HoErPa2S4.

abc: 6.522 3.762 7.073
angles: 90.00 107.87 90.00
Fractional positions:
1 Ho 0.000 0.000 0.000
2 Er 0.500 0.500 0.000
3 Pa 0.000 0.500 0.500
4 Pa 0.500 0.000 0.500
5 S 0.248 0.500 0.241
6 S 0.254 0.000 0.760
7 S 0.746 0.000 0.240
8 S 0.752 0.500 0.759

Computed properties:
The calculation puts the formation energy (no corrections) at -1765 meV/atom. The calculation puts the density at 9.276 g/cm³. The density of states at the Fermi level is 0.871 states/eV per atom.

---

# 4
A plane-wave DFT calculation with GGA-PBE was carried out for a relaxed structure of HoEr2PaSb4.

abc: 7.546 4.358 7.550
angles: 90.00 109.38 90.00
Fractional positions:
1 Ho 0.000 0.000 0.000
2 Er 0.500 0.000 0.500
3 Er 0.500 0.500 0.000
4 Pa 0.000 0.500 0.500
5 Sb 0.251 0.500 0.251
6 Sb 0.253 0.000 0.752
7 Sb 0.747 0.000 0.248
8 Sb 0.749 0.500 0.749

Computed properties:
The calculation puts the formation energy (no corrections) at -932 meV/atom. The calculation puts the density at 8.631 g/cm³. The density of states at the Fermi level is 0.808 states/eV per atom.

---

# 5
A plane-wave DFT calculation with GGA-PBE was carried out for a relaxed structure of Ho2ErPaSb4.

abc: 7.552 4.362 7.557
angles: 90.00 109.37 90.00
Fractional positions:
1 Ho 0.000 0.000 0.000
2 Ho 0.500 0.500 0.000
3 Er 0.000 0.500 0.500
4 Pa 0.500 0.000 0.500
5 Sb 0.248 0.500 0.249
6 Sb 0.249 0.000 0.749
7 Sb 0.751 0.000 0.251
8 Sb 0.752 0.500 0.751

Computed properties:
The calculation puts the formation energy (no corrections) at -937 meV/atom. The calculation puts the density at 8.591 g/cm³. The density of states at the Fermi level is 0.805 states/eV per atom.

---

# 6
A plane-wave DFT calculation with GGA-PBE was carried out for a relaxed structure of HoEr2PaSe4.

abc: 7.029 3.992 7.056
angles: 90.00 108.72 90.00
Fractional positions:
1 Ho 0.000 0.000 0.000
2 Er 0.000 0.500 0.500
3 Er 0.500 0.000 0.500
4 Pa 0.500 0.500 0.000
5 Se 0.245 0.000 0.744
6 Se 0.249 0.500 0.254
7 Se 0.751 0.500 0.746
8 Se 0.755 0.000 0.256

Computed properties:
The calculation puts the formation energy (no corrections) at -1562 meV/atom. The calculation puts the density at 9.264 g/cm³. The density of states at the Fermi level is 0.826 states/eV per atom.